Ir3PbCl (PBE, relaxed); energy relative to the lowest polymorph listed for this composition = 0.9802 eV/atom; SG = Pm-3m, No. 221; formation energy without anion corrections = 2.39 eV per atom
1.0
5.111 0.000 0.000
0.000 5.111 0.000
0.000 0.000 5.111
Ir Pb Cl
3 1 1
Cartesian
0.000 0.000 2.555
0.000 2.555 0.000
2.555 0.000 0.000
0.000 0.000 0.000
2.555 2.555 2.555